! KSiCl4 (SCAN, single point on PBEsol structure); values from VASP
&SYSTEM
  ibrav = 0, nat = 6, ntyp = 3
/
ATOMIC_SPECIES
K 39.10 K.upf
Cl 35.45 Cl.upf
Si 28.09 Si.upf
CELL_PARAMETERS angstrom
-4.3064 3.7972 1.3130
-3.9306 -1.3349 4.1780
0.0746 2.8748 5.1398
ATOMIC_POSITIONS crystal
K 0.7500 0.7500 0.7500
Cl 0.3751 0.8746 0.3751
Cl 0.3751 0.3751 0.3751
Cl 0.8746 0.3751 0.3751
Cl 0.3751 0.3751 0.8746
Si 0.0000 0.0000 0.0000
! energy relative to the elements, uncorrected = 0.1225 eV/atom
! space group = F-43m (216)
! crystal system = cubic
! ρ = 2.4 Mg/m³
! total energy = -49.5 eV for the cell shown
! DOS at the Fermi energy = 0.593 states/eV/atom